Entry 1:
MnSbPd3: optimized geometry, PBE-GGA.

a = 6.925 Å, b = 6.925 Å, c = 8.897 Å
α = 90.00°, β = 90.00°, γ = 107.56°
Site moments in Bohr magnetons follow the coordinates.
Element x y z (fractional)
Mn  0.604  0.604  0.750  4.17
Pd  0.382  0.618  0.500  0.07
Pd  0.817  0.817  0.512  0.13
Pd  0.618  0.382  0.000  0.07
Pd  0.382  0.618  0.000  0.07
Pd  0.183  0.183  0.488  0.13
Pd  0.416  0.165  0.750  0.07
Mn  0.996  0.996  0.250  4.15
Pd  0.835  0.584  0.250  0.07
Sb  0.500  0.000  0.500  -0.01
Pd  0.183  0.183  0.012  0.13
Pd  0.584  0.835  0.250  0.07
Pd  0.165  0.416  0.750  0.07
Sb  0.000  0.500  0.000  -0.01
Sb  0.500  0.000  0.000  -0.01
Pd  0.618  0.382  0.500  0.07
Mn  0.396  0.396  0.250  4.17
Sb  0.000  0.500  0.500  -0.01
Pd  0.817  0.817  0.988  0.13
Mn  0.004  0.004  0.750  4.15

Total magnetic moment in μB/f.u.: 4.66
VASP energy in eV per cell: -116.8
ΔE to the lowest computed polymorph in eV per formula unit: 1.18
Formation energy (no corrections) in eV per atom: -0.0663

Entry 2:
Mn2SbPd: optimized geometry, PBE-GGA.

a = 7.277 Å, b = 7.277 Å, c = 5.819 Å
α = 51.30°, β = 51.30°, γ = 90.00°
Site moments in Bohr magnetons follow the coordinates.
Element x y z (fractional)
Mn  0.614  0.125  0.250  3.49
Sb  0.000  0.000  0.000  -0.12
Mn  0.375  0.386  0.750  3.42
Mn  0.136  0.625  0.250  3.46
Mn  0.875  0.864  0.750  3.51
Pd  0.250  0.750  0.500  0.13
Sb  0.750  0.250  0.500  -0.12
Pd  0.500  0.500  0.000  0.12

Total magnetic moment in μB/f.u.: 7.21
VASP energy in eV per cell: -53.6
Formation energy (no corrections) in eV per atom: 0.2191

Entry 3:
Mn6SbPd12: optimized geometry, PBE-GGA.

a = 6.649 Å, b = 6.649 Å, c = 6.649 Å
α = 98.46°, β = 98.46°, γ = 98.46°
Element x y z (fractional)
Pd  0.333  0.063  0.365
Mn  0.704  0.293  0.524
Pd  0.925  0.842  0.338
Pd  0.075  0.158  0.662
Pd  0.842  0.338  0.925
Mn  0.707  0.476  0.296
Pd  0.667  0.937  0.635
Pd  0.338  0.925  0.842
Pd  0.635  0.667  0.937
Mn  0.296  0.707  0.476
Pd  0.937  0.635  0.667
Mn  0.293  0.524  0.704
Pd  0.365  0.333  0.063
Mn  0.476  0.296  0.707
Pd  0.662  0.075  0.158
Mn  0.524  0.704  0.293
Pd  0.063  0.365  0.333
Pd  0.158  0.662  0.075
Sb  0.000  0.000  0.000

Total magnetic moment in μB/f.u.: 0.00
VASP energy in eV per cell: -118.9
Formation energy (no corrections) in eV per atom: 0.1338

Entry 4:
MnSbPd3: optimized geometry, PBE-GGA.

a = 4.689 Å, b = 4.689 Å, c = 4.689 Å
α = 90.00°, β = 90.00°, γ = 90.00°
Site moments in Bohr magnetons follow the coordinates.
Element x y z (fractional)
Pd  0.000  0.500  0.000  0.21
Pd  0.000  0.000  0.500  0.35
Pd  0.500  0.000  0.000  0.11
Sb  0.500  0.500  0.500  0.01
Mn  0.000  0.000  0.000  3.76

Total magnetic moment in μB/f.u.: 4.64
VASP energy in eV per cell: -26.4
ΔE to the lowest computed polymorph in eV per formula unit: 4.03
Formation energy (no corrections) in eV per atom: 0.5030

Entry 5:
MnSb2Pd2: optimized geometry, PBE-GGA.

a = 7.100 Å, b = 7.100 Å, c = 3.906 Å
α = 90.00°, β = 90.00°, γ = 90.00°
Site moments in Bohr magnetons follow the coordinates.
Element x y z (fractional)
Pd  0.138  0.362  0.000  0.03
Mn  0.000  0.000  0.000  3.97
Sb  0.170  0.670  0.500  -0.04
Sb  0.670  0.830  0.500  -0.04
Mn  0.500  0.500  0.000  3.97
Sb  0.830  0.330  0.500  -0.04
Pd  0.362  0.862  0.000  0.03
Pd  0.638  0.138  0.000  0.03
Pd  0.862  0.638  0.000  0.03
Sb  0.330  0.170  0.500  -0.04

Total magnetic moment in μB/f.u.: 4.10
VASP energy in eV per cell: -56.8
ΔE to the lowest computed polymorph in eV per formula unit: 0.00
Formation energy (no corrections) in eV per atom: -0.1158

Entry 6:
Mn2SbPdSe: optimized geometry, PBE-GGA.

a = 4.509 Å, b = 4.509 Å, c = 5.521 Å
α = 90.00°, β = 90.00°, γ = 90.00°
Site moments in Bohr magnetons follow the coordinates.
Element x y z (fractional)
Pd  0.500  0.500  0.500  0.07
Mn  0.500  0.000  0.000  3.52
Se  0.000  0.000  0.000  -0.05
Mn  0.000  0.500  0.000  3.52
Sb  0.000  0.000  0.500  -0.04

Total magnetic moment in μB/f.u.: 7.16
VASP energy in eV per cell: -27.9
Formation energy (no corrections) in eV per atom: 0.6409

Entry 7:
MnSn2Sb2Pd7: optimized geometry, PBE-GGA.

a = 3.962 Å, b = 3.962 Å, c = 15.809 Å
α = 79.22°, β = 79.22°, γ = 90.51°
Site moments in Bohr magnetons follow the coordinates.
Element x y z (fractional)
Sn  0.716  0.716  0.413  0.00
Pd  0.500  0.500  0.000  0.14
Sb  0.684  0.684  0.757  -0.02
Mn  0.000  0.000  0.000  3.91
Pd  0.403  0.903  0.129  0.04
Pd  0.799  0.799  0.582  0.01
Pd  0.597  0.097  0.871  0.04
Sn  0.284  0.284  0.587  0.00
Pd  0.201  0.201  0.418  0.01
Sb  0.316  0.316  0.243  -0.02
Pd  0.903  0.403  0.129  0.04
Pd  0.097  0.597  0.871  0.04

Total magnetic moment in μB/f.u.: 4.20
VASP energy in eV per cell: -65.4
Formation energy (no corrections) in eV per atom: -0.3057

Entry 8:
MnSb2Te2Pd7: optimized geometry, PBE-GGA.

a = 3.976 Å, b = 3.976 Å, c = 15.823 Å
α = 82.89°, β = 82.89°, γ = 90.02°
Site moments in Bohr magnetons follow the coordinates.
Element x y z (fractional)
Sb  0.617  0.617  0.763  -0.02
Pd  0.063  0.563  0.874  0.04
Te  0.790  0.790  0.420  0.01
Sb  0.383  0.383  0.237  -0.02
Pd  0.703  0.703  0.594  0.01
Pd  0.437  0.937  0.126  0.04
Pd  0.563  0.063  0.874  0.04
Mn  0.000  0.000  0.000  3.92
Pd  0.500  0.500  0.000  0.14
Te  0.210  0.210  0.580  0.01
Pd  0.297  0.297  0.406  0.01
Pd  0.937  0.437  0.126  0.04

Total magnetic moment in μB/f.u.: 4.28
VASP energy in eV per cell: -63.9
Formation energy (no corrections) in eV per atom: -0.3186